1.
CoSiNi: single point on PBEsol structure, meta-GGA SCAN.

a = 5.289 Å, b = 5.289 Å, c = 5.289 Å
α = 90.00°, β = 90.00°, γ = 90.00°
Element x y z (fractional)
Co 0.000 0.000 0.000
Co 0.000 0.500 0.500
Co 0.500 0.000 0.500
Co 0.500 0.500 0.000
Si 0.000 0.000 0.500
Si 0.000 0.500 0.000
Si 0.500 0.000 0.000
Si 0.500 0.500 0.500
Ni 0.250 0.250 0.750
Ni 0.250 0.750 0.250
Ni 0.750 0.250 0.250
Ni 0.750 0.750 0.750

Properties
The uncorrected formation energy comes out at -0.01 eV per atom. Its symmetry is F-43m, No. 216.

=====

2.
Na3LiLa: single point on PBEsol structure, meta-GGA SCAN.

a = 5.433 Å, b = 5.433 Å, c = 5.433 Å
α = 90.00°, β = 90.00°, γ = 90.00°
Element x y z (fractional)
Na 0.000 0.000 0.500
Na 0.000 0.500 0.000
Na 0.500 0.000 0.000
Li 0.000 0.000 0.000
La 0.500 0.500 0.500

Properties
Its symmetry is Pm-3m, No. 221. The calculation puts the energy relative to the elements at 0.35 eV per atom.

=====

3.
ScHg2P: single point on PBEsol structure, meta-GGA SCAN.

a = 3.993 Å, b = 3.993 Å, c = 18.761 Å
α = 90.00°, β = 90.00°, γ = 120.00°
Element x y z (fractional)
Sc 0.000 0.000 0.000
Sc 0.333 0.667 0.667
Sc 0.667 0.333 0.333
Hg 0.000 0.000 0.571
Hg 0.000 0.000 0.809
Hg 0.333 0.667 0.238
Hg 0.333 0.667 0.476
Hg 0.667 0.333 0.142
Hg 0.667 0.333 0.904
P 0.000 0.000 0.396
P 0.333 0.667 0.062
P 0.667 0.333 0.729

Properties
Its symmetry is R3m, No. 160. The calculation puts the energy relative to the elements at -0.48 eV per atom.

=====

4.
SrTiBeOs2: single point on PBEsol structure, meta-GGA SCAN.

a = 4.282 Å, b = 4.282 Å, c = 4.623 Å
α = 90.00°, β = 90.00°, γ = 90.00°
Element x y z (fractional)
Sr 0.000 0.000 0.000
Ti 0.500 0.500 0.000
Be 0.000 0.000 0.500
Os 0.000 0.500 0.500
Os 0.500 0.000 0.500

Properties
Its symmetry is P4/mmm, No. 123. The calculation puts the energy relative to the elements at 0.96 eV per atom.

=====

5.
SiRu3F: single point on PBEsol structure, meta-GGA SCAN.

a = 4.385 Å, b = 4.385 Å, c = 4.385 Å
α = 90.00°, β = 90.00°, γ = 90.00°
Element x y z (fractional)
Si 0.000 0.000 0.000
Ru 0.000 0.000 0.500
Ru 0.000 0.500 0.000
Ru 0.500 0.000 0.000
F 0.500 0.500 0.500

Properties
The uncorrected formation energy comes out at 0.99 eV per atom. Its symmetry is Pm-3m, No. 221.

=====

6.
YP2OsO: single point on PBEsol structure, meta-GGA SCAN.

a = 5.154 Å, b = 5.154 Å, c = 3.912 Å
α = 90.00°, β = 90.00°, γ = 90.00°
Element x y z (fractional)
Y 0.000 0.000 0.000
P 0.000 0.500 0.000
P 0.500 0.000 0.000
Os 0.500 0.500 0.500
O 0.000 0.000 0.500

Properties
The uncorrected formation energy comes out at 0.90 eV per atom. Its symmetry is P4/mmm, No. 123.

=====

7.
CaZnCl3: single point on PBEsol structure, meta-GGA SCAN.

a = 4.861 Å, b = 4.861 Å, c = 4.861 Å
α = 90.00°, β = 90.00°, γ = 90.00°
Element x y z (fractional)
Ca 0.000 0.000 0.000
Zn 0.500 0.500 0.500
Cl 0.000 0.500 0.500
Cl 0.500 0.000 0.500
Cl 0.500 0.500 0.000

Properties
The uncorrected formation energy comes out at -1.27 eV per atom. Its symmetry is Pm-3m, No. 221.

=====

8.
CdRe2W: single point on PBEsol structure, meta-GGA SCAN.

a = 2.808 Å, b = 2.808 Å, c = 8.114 Å
α = 90.00°, β = 90.00°, γ = 90.00°
Element x y z (fractional)
Cd 0.000 0.000 0.000
Re 0.500 0.500 0.269
Re 0.500 0.500 0.731
W 0.000 0.000 0.500

Properties
Its symmetry is P4/mmm, No. 123. The calculation puts the energy relative to the elements at 0.51 eV per atom.